(1)
A plane-wave DFT calculation with GGA-PBE was carried out for NaTeAsO5 after structural relaxation.

Lattice parameters (Å, degrees): 5.8906 5.8906 7.7025 104.89 104.89 104.38
Closest atoms and distances in Å follow each position.
Atoms (fractional coordinates):
Na: 0.1716 0.8284 0.7500  3 O 2.29-2.56
Na: 0.8284 0.1716 0.2500  3 O 2.29-2.56
Te: 0.5000 0.5000 0.0000  6 O 2.07-2.27
Te: 0.5000 0.5000 0.5000  6 O 2.07-2.27
As: 0.1760 0.8240 0.2500  4 O 1.73-1.74
As: 0.8240 0.1760 0.7500  4 O 1.73-1.74
O: 0.1135 0.2355 0.9156  1 As 1.74
O: 0.1701 0.6089 0.3676  1 As 1.73
O: 0.2355 0.1135 0.4156  1 As 1.74
O: 0.3911 0.8299 0.1324  1 As 1.73
O: 0.4181 0.5819 0.7500  2 Te 2.07, 1 Na 2.29
O: 0.5819 0.4181 0.2500  2 Te 2.07, 1 Na 2.29
O: 0.6089 0.1701 0.8676  1 As 1.73
O: 0.7645 0.8865 0.5844  1 As 1.74
O: 0.8299 0.3911 0.6324  1 As 1.73
O: 0.8865 0.7645 0.0844  1 As 1.74

Properties
symmetry: C2/c, No. 15
E_form (uncorrected): -1248 meV per atom

(2)
A plane-wave DFT calculation with GGA-PBE was carried out for Tm2CuTe2S2O14 after structural relaxation.

Lattice parameters (Å, degrees): 5.1814 7.8853 8.1535 61.78 74.48 85.16
Closest atoms and distances in Å follow each position.
Atoms (fractional coordinates):
Tm: 0.0641 0.2516 0.0205  7 O 2.24-2.48
Tm: 0.9359 0.7484 0.9795  7 O 2.24-2.48
Cu: 0.0000 0.0000 0.5000  4 O 1.96-2.05
Te: 0.4932 0.7273 0.6547  3 O 1.91-1.95
Te: 0.5068 0.2727 0.3453  3 O 1.91-1.95
S: 0.2643 0.7452 0.2477  4 O 1.47-1.51
S: 0.7357 0.2548 0.7523  4 O 1.47-1.51
O: 0.1550 0.5837 0.2346  1 S 1.50
O: 0.1577 0.7357 0.4379  1 S 1.47
O: 0.1732 0.9214 0.0943  1 S 1.51
O: 0.2462 0.5588 0.8900  1 Te 1.91
O: 0.2534 0.9306 0.6593  1 Te 1.95, 1 Cu 1.96
O: 0.2673 0.1869 0.2526  1 Te 1.92, 1 Cu 2.05
O: 0.4387 0.2591 0.7946  1 S 1.49
O: 0.5613 0.7409 0.2054  1 S 1.49
O: 0.7327 0.8131 0.7474  1 Te 1.92, 1 Cu 2.05
O: 0.7466 0.0694 0.3407  1 Te 1.95, 1 Cu 1.96
O: 0.7538 0.4412 0.1100  1 Te 1.91
O: 0.8268 0.0786 0.9057  1 S 1.51
O: 0.8423 0.2643 0.5621  1 S 1.47
O: 0.8450 0.4163 0.7654  1 S 1.50

Properties
symmetry: P-1, No. 2
E_form (uncorrected): -1818 meV per atom

(3)
A plane-wave DFT calculation with GGA-PBE was carried out for CuAu2Se after structural relaxation.

Lattice parameters (Å, degrees): 6.6198 6.6198 6.6198 155.35 141.12 46.58
Closest atoms and distances in Å follow each position.
Atoms (fractional coordinates):
Cu: 0.0000 0.0000 0.0000  2 Se 2.50, 6 Au 2.69-2.80
Au: 0.1984 0.6984 0.5000  2 Cu 2.80, 4 Au 2.83-2.84, 4 Se 3.07
Au: 0.5511 0.5511 0.0000  4 Cu 2.69, 4 Au 2.83-2.84
Se: 0.8306 0.3306 0.5000  2 Cu 2.50

Properties
symmetry: Imm2, No. 44
E_form (uncorrected): 110 meV per atom

(4)
A plane-wave DFT calculation with GGA-PBE was carried out for Pm2Pr6Y5 after structural relaxation.

Lattice parameters (Å, degrees): 11.8895 20.8198 3.6834 90.00 90.00 90.00
Closest atoms and distances in Å follow each position.
Atoms (fractional coordinates):
Pm: 0.1689 0.2148 0.0000  3 Pr 3.42-3.73, 6 Y 3.60-3.76, 2 Pm 3.68
Pm: 0.3311 0.7148 0.0000  3 Pr 3.42-3.73, 6 Y 3.60-3.76, 2 Pm 3.68
Pm: 0.6689 0.2852 0.0000  3 Pr 3.42-3.73, 6 Y 3.60-3.76, 2 Pm 3.68
Pm: 0.8311 0.7852 0.0000  3 Pr 3.42-3.73, 6 Y 3.60-3.76, 2 Pm 3.68
Pr: 0.0618 0.9232 0.0000  5 Pr 3.52-3.78, 6 Y 3.57-3.73
Pr: 0.0791 0.6354 0.0000  1 Pm 3.42, 6 Y 3.48-3.60, 4 Pr 3.55-3.68
Pr: 0.1761 0.3702 0.5000  2 Y 3.37-3.42, 4 Pr 3.55-3.68, 2 Pm 3.73
Pr: 0.3239 0.8702 0.5000  2 Y 3.37-3.42, 4 Pr 3.55-3.68, 2 Pm 3.73
Pr: 0.4209 0.1354 0.0000  1 Pm 3.42, 6 Y 3.48-3.60, 4 Pr 3.55-3.68
Pr: 0.4382 0.4232 0.0000  5 Pr 3.52-3.78, 6 Y 3.57-3.73
Pr: 0.5618 0.5768 0.0000  5 Pr 3.52-3.78, 6 Y 3.57-3.73
Pr: 0.5791 0.8646 0.0000  1 Pm 3.42, 6 Y 3.48-3.60, 4 Pr 3.55-3.68
Pr: 0.6761 0.1298 0.5000  2 Y 3.37-3.42, 4 Pr 3.55-3.68, 2 Pm 3.73
Pr: 0.8239 0.6298 0.5000  2 Y 3.37-3.42, 4 Pr 3.55-3.68, 2 Pm 3.73
Pr: 0.9209 0.3646 0.0000  1 Pm 3.42, 6 Y 3.48-3.60, 4 Pr 3.55-3.68
Pr: 0.9382 0.0768 0.0000  5 Pr 3.52-3.78, 6 Y 3.57-3.73
Y: 0.0000 0.5000 0.5000  6 Pr 3.42-3.50, 4 Y 3.68-3.78
Y: 0.0914 0.7773 0.5000  5 Pr 3.37-3.57, 4 Pm 3.60-3.63, 2 Y 3.68
Y: 0.1988 0.0580 0.5000  6 Pr 3.60-3.73, 3 Y 3.68-3.78, 2 Pm 3.76
Y: 0.3012 0.5580 0.5000  6 Pr 3.60-3.73, 3 Y 3.68-3.78, 2 Pm 3.76
Y: 0.4086 0.2773 0.5000  5 Pr 3.37-3.57, 4 Pm 3.60-3.63, 2 Y 3.68
Y: 0.5000 0.0000 0.5000  6 Pr 3.42-3.50, 4 Y 3.68-3.78
Y: 0.5914 0.7227 0.5000  5 Pr 3.37-3.57, 4 Pm 3.60-3.63, 2 Y 3.68
Y: 0.6988 0.4420 0.5000  6 Pr 3.60-3.73, 3 Y 3.68-3.78, 2 Pm 3.76
Y: 0.8012 0.9420 0.5000  6 Pr 3.60-3.73, 3 Y 3.68-3.78, 2 Pm 3.76
Y: 0.9086 0.2227 0.5000  5 Pr 3.37-3.57, 4 Pm 3.60-3.63, 2 Y 3.68

Properties
formation energy: 0.098 eV/atom
symmetry: Pbam, No. 55

(5)
A plane-wave DFT calculation with GGA-PBE was carried out for BaTlTeI after structural relaxation.

Lattice parameters (Å, degrees): 17.9499 17.9499 17.9499 16.02 16.02 16.02
Closest atoms and distances in Å follow each position.
Atoms (fractional coordinates):
Ba: 0.0955 0.0955 0.0955  3 I 3.45, 3 Te 3.54
Ba: 0.9045 0.9045 0.9045  3 I 3.45, 3 Te 3.54
Tl: 0.3075 0.3075 0.3075  3 Te 3.33
Tl: 0.6925 0.6925 0.6925  3 Te 3.33
Te: 0.3904 0.3904 0.3904  3 Tl 3.33, 3 Ba 3.54
Te: 0.6096 0.6096 0.6096  3 Tl 3.33, 3 Ba 3.54
I: 0.2022 0.2022 0.2022  3 Ba 3.45
I: 0.7978 0.7978 0.7978  3 Ba 3.45

Properties
energy above the most stable polymorph in this dataset: 0.00 eV per formula unit
symmetry: R-3m, No. 166
E_form (uncorrected): -1203 meV per atom

(6)
A plane-wave DFT calculation with GGA-PBE was carried out for Mg2CuHgN after structural relaxation.

Lattice parameters (Å, degrees): 4.3211 4.3211 4.0897 90.00 90.00 90.00
Closest atoms and distances in Å follow each position.
Atoms (fractional coordinates):
Mg: 0.0000 0.5000 0.0000  2 N 2.16
Mg: 0.5000 0.0000 0.0000  2 N 2.16
Cu: 0.0000 0.0000 0.5000  2 N 2.04
Hg: 0.5000 0.5000 0.5000  8 Mg 2.97, 4 Cu 3.06
N: 0.0000 0.0000 0.0000  2 Cu 2.04, 4 Mg 2.16

Properties
symmetry: P4/mmm, No. 123
E_form (uncorrected): -208 meV per atom